# 1
Compound: PmReTc
Source: Alexandria
Functional: PBE
Structure: relaxed

Values from the calculation:
Raw total energy: -110.4 eV per cell
ΔE_f: -0.272 kcal/mol of atoms
DOS(E_F): 10.86 states/eV/cell

Unit cell a=5.328 b=5.762 c=7.581 alpha=90.00 beta=90.00 gamma=90.00
Space group Imma (No. 74)
Asymmetric unit:
Pm 0.000 0.250 0.127 x4
Re 0.250 0.250 0.750 x4
Tc 0.000 0.000 0.500 x4

=====

# 2
Compound: CuTc3Te
Source: Alexandria
Functional: PBE
Structure: relaxed

Values from the calculation:
Raw total energy: -30.7 eV per cell
DOS(E_F): 5.61 states/eV/cell
Raw formation energy: 1.535 eV/atom

Unit cell a=4.531 b=4.531 c=4.531 alpha=90.00 beta=90.00 gamma=90.00
Space group Pm-3m (No. 221)
Asymmetric unit:
Cu 0.000 0.000 0.000 x1
Tc 0.000 0.000 0.500 x3
Te 0.500 0.500 0.500 x1

=====

# 3
Compound: PaGa2Ni5
Source: Alexandria
Functional: PBE
Structure: relaxed

Values from the calculation:
Raw total energy: -93.9 eV per cell
ΔE_f: -7.224 kcal/mol of atoms
DOS(E_F): 14.58 states/eV/cell

Unit cell a=3.617 b=6.460 c=9.780 alpha=90.00 beta=90.00 gamma=90.00
Space group Immm (No. 71)
Asymmetric unit:
Pa 0.000 0.000 0.000 x2
Ga 0.000 0.500 0.241 x4
Ni 0.000 0.196 0.374 x8
Ni 0.000 0.500 0.000 x2

=====

# 4
Compound: FeI2Cl8
Source: Alexandria
Functional: PBE
Structure: relaxed

Values from the calculation:
Raw total energy: -29.6 eV per cell
DOS(E_F): 3.35 states/eV/cell
Raw formation energy: -0.299 eV/atom

Unit cell a=5.357 b=7.975 c=11.062 alpha=98.77 beta=101.33 gamma=109.26
Space group P-1 (No. 2)
Asymmetric unit:
Fe 0.000 0.000 0.000 x1
I 0.281 0.485 0.298 x2
Cl 0.055 0.112 0.206 x2
Cl 0.163 0.267 0.968 x2
Cl 0.225 0.533 0.694 x2
Cl 0.478 0.806 0.391 x2

=====

# 5
Compound: Na2La3ErSe6
Source: Alexandria
Functional: PBE
Structure: relaxed

Values from the calculation:
Raw total energy: -128.5 eV per cell
DOS(E_F): 8.40 states/eV/cell
Raw formation energy: -1.781 eV/atom

Unit cell a=7.405 b=12.800 c=7.290 alpha=90.00 beta=109.67 gamma=90.00
Space group C2/m (No. 12)
Asymmetric unit:
Na 0.000 0.165 0.000 x4
La 0.000 0.000 0.500 x2
La 0.000 0.329 0.500 x4
Er 0.000 0.500 0.000 x2
Se 0.240 0.500 0.755 x4
Se 0.241 0.339 0.238 x8

=====

# 6
Compound: FeIr2Au
Source: Alexandria
Functional: PBE
Structure: relaxed

Values from the calculation:
Raw total energy: -28.2 eV per cell
ΔE_f: 7.507 kcal/mol of atoms
DOS(E_F): 5.35 states/eV/cell

Unit cell a=2.766 b=4.675 c=4.710 alpha=90.00 beta=90.00 gamma=90.00
Space group Pmmm (No. 47)
Asymmetric unit:
Fe 0.000 0.000 0.000 x1
Ir 0.000 0.500 0.500 x1
Ir 0.500 0.500 0.000 x1
Au 0.500 0.000 0.500 x1

=====

# 7
Compound: KCaP4
Source: Alexandria
Functional: PBE
Structure: relaxed

Values from the calculation:
Raw total energy: -101.3 eV per cell
ΔE_f: -2.234 kcal/mol of atoms
DOS(E_F): 14.00 states/eV/cell

Unit cell a=7.825 b=7.825 c=7.825 alpha=90.00 beta=90.00 gamma=90.00
Space group F-43m (No. 216)
Asymmetric unit:
K 0.000 0.000 0.000 x4
Ca 0.250 0.250 0.250 x4
P 0.114 0.114 0.614 x16

=====

# 8
Compound: NbGa2F2
Source: Alexandria
Functional: PBE
Structure: relaxed

Values from the calculation:
Raw total energy: -43.4 eV per cell
DOS(E_F): 5.59 states/eV/cell
Raw formation energy: -0.371 eV/atom

Unit cell a=3.359 b=3.359 c=14.785 alpha=90.00 beta=90.00 gamma=90.00
Space group I4/mmm (No. 139)
Asymmetric unit:
Nb 0.000 0.000 0.000 x2
Ga 0.000 0.500 0.250 x4
F 0.000 0.000 0.422 x4